A plane-wave DFT calculation with GGA-PBE was carried out for a relaxed MnBiAu4 crystal.

Values from the calculation:
Its calculated density is 14.1 g/cm³. For the density of states at the Fermi level, the calculation gives 2.68 states/eV/f.u. The total energy comes out at -4.24 eV per atom.

a b c (Å): 5.5955 5.5955 5.5955
angles (deg): 60.00 60.00 60.00
Fractional positions:
Mn  0.0000  0.0000  0.0000
Au  0.6256  0.6256  0.1233
Au  0.6256  0.1233  0.6256
Au  0.6256  0.6256  0.6256
Au  0.1233  0.6256  0.6256
Bi  0.2500  0.2500  0.2500

A plane-wave DFT calculation with GGA-PBE was carried out for a relaxed SbAs2W crystal.

Values from the calculation:
Its calculated density is 9.6 g/cm³. For the density of states at the Fermi level, the calculation gives 1.97 states/eV/f.u. The energy relative to the elements, uncorrected comes out at 1.64 eV/f.u.

a b c (Å): 4.4786 3.5021 5.3244
angles (deg): 70.56 90.00 90.00
Fractional positions:
Sb  0.0000  0.5315  0.5638
As  0.0000  0.7943  0.0304
As  0.5000  0.2373  0.1507
W  0.5000  0.9369  0.7551

A plane-wave DFT calculation with GGA-PBE was carried out for a relaxed BaAs2Ir crystal.

Values from the calculation:
Its calculated density is 8.6 g/cm³. For the density of states at the Fermi level, the calculation gives 1.57 states/eV/f.u. The total energy comes out at -5.69 eV per atom.

a b c (Å): 6.3669 6.3669 6.3669
angles (deg): 39.27 39.27 39.27
Fractional positions:
As  0.0390  0.0390  0.0390
As  0.4610  0.4610  0.4610
Ir  0.7500  0.7500  0.7500
Ba  0.2500  0.2500  0.2500